Record 1
DFT (PBE) results for AlZn2Cu3 after structural relaxation.

Structure (extended XYZ):
```
12
Lattice="-2.2739 1.3576 0.0649 -1.9418 -2.9939 -5.4067 -3.1889 -8.1972 5.6845" Properties=species:S:1:pos:R:3 pbc="T T T"
Al -2.8610 -2.2224 0.3177
Cu -4.6217 -7.8642 2.5837
Cu -4.8170 -5.4315 -1.0837
Zn -0.7002 -1.1216 -1.0679
Cu -3.8759 -6.7144 4.6600
Zn -4.6057 -5.2547 2.6234
Cu -2.5875 -4.4020 1.4264
Zn -6.7044 -8.7119 1.4106
Zn -2.7989 -4.5788 -2.2807
Cu -2.7829 -1.9694 -2.2410
Al -4.5436 -7.6111 0.0250
Cu -3.5287 -3.1191 -4.3174
```

Calculated values
The calculation puts the density of states at the Fermi level at 0.26 states/eV/atom. The formation energy from the elements is 0.17 eV per formula unit. For the final energy, the calculation gives -3.0688 eV/atom.

---

Record 2
DFT (PBE) results for AlZn3Cu after structural relaxation.

Structure (extended XYZ):
```
5
Lattice="-1.0161 3.5952 -2.9991 -3.0314 -2.8440 -2.3822 -3.5680 1.3924 2.8780" Properties=species:S:1:pos:R:3 pbc="T T T"
Al 0.0000 0.0000 0.0000
Zn -1.5157 -1.4220 -1.1911
Zn -1.7840 0.6962 1.4390
Cu -3.8078 1.0718 -1.2516
Zn -0.5081 1.7976 -1.4995
```

Calculated values
The calculation puts the density of states at the Fermi level at 0.32 states/eV/atom. The formation energy from the elements is 3.57 eV per formula unit. For the final energy, the calculation gives -1.6191 eV/atom.

---

Record 3
DFT (PBE) results for AlZnCu4 after structural relaxation.

Structure (extended XYZ):
```
6
Lattice="-0.6106 -0.2765 3.4820 -4.4471 0.1737 1.0395 1.7764 -5.3907 1.6889" Properties=species:S:1:pos:R:3 pbc="T T T"
Cu -1.2379 -4.6395 4.8310
Al 0.0000 0.0000 0.0000
Zn -1.6407 -2.7468 3.1052
Cu -3.6615 -3.6125 4.4875
Cu -2.0434 -0.8541 1.3794
Cu 0.3802 -1.8811 1.7228
```

Calculated values
The calculation puts the density of states at the Fermi level at 0.24 states/eV/atom. The formation energy from the elements is -0.83 eV per formula unit. For the final energy, the calculation gives -3.7045 eV/atom.